No. 1
Here is an optimized crystal structure of In3Pd4Au from Alexandria. Energies are from GGA-PBE.

Properties
* energy: -4.479 eV per atom
* space-group type: Pmma (51)

Lattice parameters (Å, degrees): 4.7492 6.2472 9.4689 90.00 90.00 90.00
Last column: nearest neighbours and their distance in Å.
Positions (direct):
Pd 0.5000 0.7542 0.0000  6 In 2.83-2.86, 2 Au 2.86, 1 Pd 3.07
Pd 0.5000 0.7542 0.5000  6 In 2.83-2.86, 2 Au 2.86, 1 Pd 3.07
Pd 0.5000 0.2458 0.0000  6 In 2.83-2.86, 2 Au 2.86, 1 Pd 3.07
Pd 0.9455 0.7549 0.2500  6 In 2.79-2.87, 2 Au 2.86, 1 Pd 3.06
Pd 0.9455 0.2451 0.2500  6 In 2.79-2.87, 2 Au 2.86, 1 Pd 3.06
Pd 0.0545 0.2451 0.7500  6 In 2.79-2.87, 2 Au 2.86, 1 Pd 3.06
Pd 0.0545 0.7549 0.7500  6 In 2.79-2.87, 2 Au 2.86, 1 Pd 3.06
Pd 0.5000 0.2458 0.5000  6 In 2.83-2.86, 2 Au 2.86, 1 Pd 3.07
In 0.4486 0.5000 0.2500  8 Pd 2.85-2.87, 2 In 3.12, 2 Au 3.18
In 0.4550 0.0000 0.2500  8 Pd 2.79-2.86
In 0.0000 0.0000 0.0000  8 Pd 2.83, 2 Au 3.12
In 0.5514 0.5000 0.7500  8 Pd 2.85-2.87, 2 In 3.12, 2 Au 3.18
In 0.0000 0.0000 0.5000  8 Pd 2.83, 2 Au 3.12
In 0.5450 0.0000 0.7500  8 Pd 2.79-2.86
Au 0.0000 0.5000 0.5000  8 Pd 2.86, 4 In 3.12-3.18
Au 0.0000 0.5000 0.0000  8 Pd 2.86, 4 In 3.12-3.18


No. 2
Here is an optimized crystal structure of CaTiAs2Cl from Alexandria. Energies are from GGA-PBE.

Properties
* E_form (uncorrected): 97 meV per atom
* space-group type: P4/mmm (123)

Lattice parameters (Å, degrees): 5.3231 4.3714 5.3231 90.00 90.00 90.00
Last column: nearest neighbours and their distance in Å.
Positions (direct):
As 0.5000 0.0000 0.0000  2 Cl 2.66
As 0.0000 0.0000 0.5000  2 Cl 2.66
Cl 0.0000 0.0000 0.0000  2 Ti 2.19
Ca 0.5000 0.5000 0.5000  8 As 3.44, 4 Ti 3.76
Ti 0.0000 0.5000 0.0000  2 Cl 2.19


No. 3
Here is an optimized crystal structure of Ce5NdSe8 from Alexandria. Energies are from GGA-PBE.

Properties
* E_form (uncorrected): -1848 meV per atom
* space-group type: I-4 (82)

Lattice parameters (Å, degrees): 7.7287 7.7287 7.7287 109.53 109.36 109.53
Last column: nearest neighbours and their distance in Å.
Positions (direct):
Se 0.4733 0.5988 0.2234  5 Ce 3.01-3.17, 1 Nd 3.16
Se 0.6247 0.4012 0.8745  5 Ce 3.01-3.17, 1 Nd 3.16
Se 0.2761 0.2500 0.3750  5 Ce 3.01-3.17, 1 Nd 3.01
Se 0.7766 0.2498 0.3753  5 Ce 3.01-3.17, 1 Nd 3.16
Se 0.6250 0.9011 0.8750  5 Ce 3.01-3.17, 1 Nd 3.01
Se 0.1250 0.7500 0.0262  5 Ce 3.01-3.17, 1 Nd 3.01
Se 0.9738 0.0989 0.7239  5 Ce 3.01-3.17, 1 Nd 3.01
Se 0.1255 0.7502 0.5267  5 Ce 3.01-3.17, 1 Nd 3.16
Ce 0.0004 0.3754 0.1242  8 Se 3.01-3.17
Ce 0.5000 0.0000 0.5000  8 Se 3.01-3.17
Ce 0.8758 0.8762 0.2511  8 Se 3.01-3.17
Ce 0.7489 0.6246 0.6250  8 Se 3.01-3.17
Ce 0.3750 0.1238 0.9996  8 Se 3.01-3.17
Nd 0.2500 0.5000 0.7500  8 Se 3.01-3.16


No. 4
Here is an optimized crystal structure of TiCoH from Alexandria. Energies are from GGA-PBE.

Properties
* E above lowest polymorph: 0 meV/atom
* space-group type: P4/nmm (129)

Lattice parameters (Å, degrees): 4.0754 4.0754 3.4157 90.00 90.00 89.99
Last column: nearest neighbours and their distance in Å.
Positions (direct):
Ti 0.2500 0.7500 0.0000  4 H 2.04
Ti 0.7500 0.2500 0.0000  4 H 2.04
Co 0.2500 0.2500 0.4992  2 H 1.71
Co 0.7500 0.7500 0.5008  2 H 1.71
H 0.7500 0.7500 0.0009  2 Co 1.71
H 0.2500 0.2500 0.9991  2 Co 1.71


No. 5
Here is an optimized crystal structure of Li2Ca2ErCd5 from Alexandria. Energies are from GGA-PBE.

Properties
* energy: -1.985 eV per atom
* space-group type: P4/mbm (127)

Lattice parameters (Å, degrees): 4.0484 10.8533 10.8533 90.00 90.00 90.00
Last column: nearest neighbours and their distance in Å.
Positions (direct):
Li 0.0000 0.8831 0.3831  6 Cd 2.70-2.80
Li 0.0000 0.1169 0.6169  6 Cd 2.70-2.80
Li 0.0000 0.3831 0.1169  6 Cd 2.70-2.80
Li 0.0000 0.6169 0.8831  6 Cd 2.70-2.80
Cd 0.5000 0.0590 0.7862  2 Li 2.80
Cd 0.5000 0.2862 0.5590  2 Li 2.80
Cd 0.5000 0.2138 0.0590  2 Li 2.80
Cd 0.5000 0.4410 0.2862  2 Li 2.80
Cd 0.5000 0.5590 0.7138  2 Li 2.80
Cd 0.5000 0.7138 0.4410  2 Li 2.80
Cd 0.5000 0.0000 0.5000  4 Li 2.70
Cd 0.5000 0.7862 0.9410  2 Li 2.80
Cd 0.5000 0.5000 0.0000  4 Li 2.70
Cd 0.5000 0.9410 0.2138  2 Li 2.80
Er 0.0000 0.0000 0.0000  8 Cd 3.15
Er 0.0000 0.5000 0.5000  8 Cd 3.15
Ca 0.0000 0.1804 0.3196  3 Li 3.11-3.30, 2 Cd 3.43
Ca 0.0000 0.3196 0.8196  3 Li 3.11-3.30, 2 Cd 3.43
Ca 0.0000 0.8196 0.6804  3 Li 3.11-3.30, 2 Cd 3.43
Ca 0.0000 0.6804 0.1804  3 Li 3.11-3.30, 2 Cd 3.43


No. 6
Here is an optimized crystal structure of Cr2CuOs from Alexandria. Energies are from GGA-PBE.

Properties
* energy: -8.370 eV per atom
* space-group type: R3m (160)

Lattice parameters (Å, degrees): 8.7283 8.7283 8.7283 17.31 17.31 17.31
Last column: nearest neighbours and their distance in Å.
Positions (direct):
Cr 0.2514 0.2514 0.2514  9 Cr 2.60-2.63, 3 Cu 2.61
Cr 0.0001 0.0001 0.0001  3 Os 2.55, 9 Cr 2.60-2.63
Cu 0.5022 0.5022 0.5022  3 Cr 2.61, 6 Cu 2.63, 3 Os 2.76
Os 0.7463 0.7463 0.7463  3 Cr 2.55, 6 Os 2.63, 3 Cu 2.76


No. 7
Here is an optimized crystal structure of CaLa12Sm7 from Alexandria. Energies are from GGA-PBE.

Properties
* energy: -4.183 eV per atom
* space-group type: Im-3m (229)

Lattice parameters (Å, degrees): 10.2458 10.2458 10.2458 109.47 109.47 109.47
Last column: nearest neighbours and their distance in Å.
Positions (direct):
Sm 0.0000 0.0000 0.5000  6 La 2.96
Sm 0.5000 0.0000 0.0000  6 La 2.96
Sm 0.5000 0.0000 0.5000  12 La 4.10-4.19
Sm 0.5000 0.5000 0.0000  12 La 4.10-4.19
Sm 0.0000 0.5000 0.0000  6 La 2.96
Sm 0.5000 0.5000 0.5000  6 La 2.96
Sm 0.0000 0.5000 0.5000  12 La 4.10-4.19
La 0.7453 0.0002 0.2549  2 Sm 2.96
La 0.9998 0.7451 0.2547  2 Sm 2.96
La 0.0002 0.2549 0.7453  2 Sm 2.96
La 0.2549 0.7453 0.0002  2 Sm 2.96
La 0.7451 0.7453 0.4904  2 Sm 2.96
La 0.7451 0.2547 0.9998  2 Sm 2.96
La 0.2547 0.9998 0.7451  2 Sm 2.96
La 0.2547 0.5096 0.2549  2 Sm 2.96
La 0.4904 0.7451 0.7453  2 Sm 2.96
La 0.2549 0.2547 0.5096  2 Sm 2.96
La 0.5096 0.2549 0.2547  2 Sm 2.96
La 0.7453 0.4904 0.7451  2 Sm 2.96
Ca 0.0000 0.0000 0.0000  12 La 4.26


no.,total magnetic moment (μB/cell),Fermi-level density of states (states/eV per atom)
1,0.00,0.299
2,1.47,0.715
3,6.98,2.129
4,1.24,0.706
5,0.00,0.538
6,0.00,0.760
7,0.01,1.519